GGA-PBE BHBr3, optimized geometry; energy above the most stable polymorph in this dataset = 0.0 kJ per mole of atoms
1.0
-3.4670 -4.8973 -3.2125
8.9440 -4.1405 -3.3405
0.7187 -5.5599 7.7002
Br B H
12 4 4
Direct
0.7856 0.2861 0.4616
0.8441 0.0995 0.9423
0.7480 0.4484 0.7551
0.2856 0.2139 0.0384
0.7144 0.7861 0.9616
0.6559 0.5995 0.4423
0.2144 0.7139 0.5384
0.2480 0.0516 0.7449
0.3441 0.4005 0.5577
0.7520 0.9484 0.2551
0.1559 0.9005 0.0577
0.2520 0.5516 0.2449
0.1576 0.0787 0.9359
0.3424 0.5787 0.4359
0.6576 0.4213 0.5641
0.8424 0.9213 0.0641
0.7693 0.9245 0.6155
0.2307 0.0755 0.3845
0.2693 0.5755 0.8845
0.7307 0.4245 0.1155